## LiMgFe2O4 (PBE+U)

Data for LiMgFe2O4 after structural relaxation.

a = 5.2053 Å, b = 3.0301 Å, c = 5.2618 Å
α = 90.00°, β = 108.49°, γ = 90.00°
Space group P2/m (No. 10)
One atom of each set of equivalent atoms:
Li  0.0000  0.0000  0.0000 (multiplicity 1)
Mg  0.0000  0.5000  0.5000 (multiplicity 1)
Fe  0.5000  0.0000  0.5000 (multiplicity 1)
Fe  0.5000  0.5000  0.0000 (multiplicity 1)
O  0.2493  0.0000  0.7286 (multiplicity 2)
O  0.2666  0.5000  0.2667 (multiplicity 2)

Results
* raw total energy: -6.21 eV per atom